No. 1
The following is a DFT calculation (PBE) of Ca2YHg2 after structural relaxation.

a b c (Å): 4.7290 4.7290 13.6167
angles (deg): 90.00 90.00 90.00
Space group I4/mmm (No. 139)
Inequivalent atoms, fractional coordinates:
Ca (0.0000, 0.5000, 0.2500) x4
Y (0.0000, 0.0000, 0.0000) x2
Hg (0.0000, 0.0000, 0.3979) x4

Computed properties:
- relative energy among the computed polymorphs (eV per formula unit) = 1.06
- DOS(E_F) (states/eV/f.u.) = 6.69
- formation energy (eV per atom) = -0.183

No. 2
The following is a DFT calculation (PBE) of TaTl2Fe after structural relaxation.

a b c (Å): 3.1565 3.1565 8.4782
angles (deg): 90.00 90.00 90.00
Space group P4mm (No. 99)
Inequivalent atoms, fractional coordinates:
Ta (0.0000, 0.0000, 0.0000) x1
Tl (0.0000, 0.0000, 0.6153) x1
Tl (0.5000, 0.5000, 0.2799) x1
Fe (0.5000, 0.5000, 0.8640) x1

Computed properties:
- relative energy among the computed polymorphs (eV per formula unit) = 0.08
- DOS(E_F) (states/eV/f.u.) = 2.93
- formation energy (eV per atom) = 0.379

No. 3
The following is a DFT calculation (PBE) of Y8Si3GeTe4 after structural relaxation.

a b c (Å): 8.4642 8.4642 21.3295
angles (deg): 90.00 90.00 120.00
Space group R-3m (No. 166, hexagonal axes)
Inequivalent atoms, fractional coordinates:
Y (0.0000, 0.0000, 0.2395) x6
Y (0.0010, 0.5005, 0.7603) x18
Si (0.0000, 0.5000, 0.5000) x9
Ge (0.0000, 0.0000, 0.5000) x3
Te (0.0000, 0.0000, 0.0000) x3
Te (0.0000, 0.5000, 0.0000) x9

Computed properties:
- E_form (uncorrected) (meV per atom) = -1147
- DOS(E_F) (states/eV/f.u.) = 2.49

No. 4
The following is a DFT calculation (PBE) of MgAgRu2 after structural relaxation.

a b c (Å): 2.9026 4.7198 9.3237
angles (deg): 90.00 90.00 90.00
Space group Cmm2 (No. 35)
Inequivalent atoms, fractional coordinates:
Mg (0.0000, 0.0000, 0.0000) x2
Ag (0.0000, 0.5000, 0.2613) x2
Ru (0.0000, 0.0000, 0.5284) x2
Ru (0.0000, 0.5000, 0.7558) x2

Computed properties:
- DOS(E_F) (states/eV/f.u.) = 3.84
- formation energy (eV per atom) = 0.334

No. 5
The following is a DFT calculation (PBE) of Ce7In2Pt2 after structural relaxation.

a b c (Å): 8.1946 11.4694 6.8002
angles (deg): 90.00 90.00 90.00
Space group Cmmm (No. 65)
Inequivalent atoms, fractional coordinates:
Ce (0.0000, 0.0000, 0.0000) x2
Ce (0.0000, 0.5000, 0.2186) x4
Ce (0.2500, 0.2500, 0.2875) x8
In (0.1725, 0.0000, 0.5000) x4
Pt (0.0000, 0.2681, 0.0000) x4

Computed properties:
- DOS(E_F) (states/eV/f.u.) = 35.72
- formation energy (eV per atom) = -0.374

No. 6
The following is a DFT calculation (PBE) of Tb3Ho4Cu4 after structural relaxation.

a b c (Å): 4.8121 7.3294 15.0376
angles (deg): 90.00 90.00 90.00
Space group Immm (No. 71)
Inequivalent atoms, fractional coordinates:
Tb (0.0000, 0.0000, 0.0000) x2
Tb (0.0000, 0.5000, 0.1038) x4
Ho (0.0000, 0.2806, 0.3279) x8
Cu (0.0000, 0.0000, 0.2019) x4
Cu (0.0000, 0.1679, 0.5000) x4

Computed properties:
- DOS(E_F) (states/eV/f.u.) = 9.47
- formation energy (eV per atom) = -0.088

No. 7
The following is a DFT calculation (PBE) of DyYHg after structural relaxation.

a b c (Å): 8.7749 8.7749 3.7843
angles (deg): 90.00 90.00 120.00
Space group P-62m (No. 189)
Inequivalent atoms, fractional coordinates:
Dy (0.0000, 0.7240, 0.0000) x3
Y (0.0000, 0.3907, 0.5000) x3
Hg (0.0000, 0.0000, 0.5000) x1
Hg (0.3333, 0.6667, 0.0000) x2

Computed properties:
- relative energy among the computed polymorphs (eV per formula unit) = 0.26
- DOS(E_F) (states/eV/f.u.) = 3.96
- formation energy (eV per atom) = -0.293

No. 8
The following is a DFT calculation (PBE) of TaIn2Pt after structural relaxation.

a b c (Å): 5.9755 9.5949 2.9702
angles (deg): 90.00 114.72 90.00
Space group C2/m (No. 12)
Inequivalent atoms, fractional coordinates:
Ta (0.0000, 0.0000, 0.0000) x2
In (0.2500, 0.2500, 0.5000) x4
Pt (0.0000, 0.5000, 0.0000) x2

Computed properties:
- relative energy among the computed polymorphs (eV per formula unit) = 0.82
- DOS(E_F) (states/eV/f.u.) = 3.45
- formation energy (eV per atom) = 0.070

No. 9
The following is a DFT calculation (PBE) of PrPa2C after structural relaxation.

a b c (Å): 3.1281 3.1281 8.8719
angles (deg): 90.00 90.00 90.00
Space group P4/mmm (No. 123)
Inequivalent atoms, fractional coordinates:
Pr (0.0000, 0.0000, 0.0000) x1
Pa (0.5000, 0.5000, 0.3400) x2
C (0.0000, 0.0000, 0.5000) x1

Computed properties:
- relative energy among the computed polymorphs (eV per formula unit) = 0.98
- DOS(E_F) (states/eV/f.u.) = 6.48
- formation energy (eV per atom) = 0.248

No. 10
The following is a DFT calculation (PBE) of Mg2TaAg after structural relaxation.

a b c (Å): 7.4841 7.4841 5.7572
angles (deg): 90.00 90.00 90.00
Space group I-42d (No. 122)
Inequivalent atoms, fractional coordinates:
Mg (0.2229, 0.7500, 0.1250) x8
Ta (0.0000, 0.0000, 0.5000) x4
Ag (0.0000, 0.0000, 0.0000) x4

Computed properties:
- relative energy among the computed polymorphs (eV per formula unit) = 2.52
- DOS(E_F) (states/eV/f.u.) = 1.36
- formation energy (eV per atom) = 0.690

No. 11
The following is a DFT calculation (PBE) of La4CuS2Cl after structural relaxation.

a b c (Å): 7.2644 4.1534 7.3288
angles (deg): 90.00 109.31 90.00
Space group P2/m (No. 10)
Inequivalent atoms, fractional coordinates:
La (0.2421, 0.0000, 0.2332) x2
La (0.2508, 0.5000, 0.7589) x2
Cu (0.0000, 0.0000, 0.5000) x1
S (0.0000, 0.5000, 0.0000) x1
S (0.5000, 0.0000, 0.0000) x1
Cl (0.5000, 0.5000, 0.5000) x1

Computed properties:
- E_form (uncorrected) (meV per atom) = -1500
- DOS(E_F) (states/eV/f.u.) = 5.77

No. 12
The following is a DFT calculation (PBE) of AlCdAg3 after structural relaxation.

a b c (Å): 5.1820 5.1820 5.1820
angles (deg): 90.00 90.00 90.00
Space group Pm-3m (No. 221)
Inequivalent atoms, fractional coordinates:
Al (0.0000, 0.0000, 0.0000) x1
Cd (0.5000, 0.5000, 0.5000) x1
Ag (0.0000, 0.5000, 0.5000) x3

Computed properties:
- relative energy among the computed polymorphs (eV per formula unit) = 4.05
- DOS(E_F) (states/eV/f.u.) = 1.85
- formation energy (eV per atom) = 0.760

No. 13
The following is a DFT calculation (PBE) of SrPF2 after structural relaxation.

a b c (Å): 6.7050 6.7050 12.0424
angles (deg): 90.00 90.00 90.00
Space group I-42d (No. 122)
Inequivalent atoms, fractional coordinates:
Sr (0.0000, 0.0000, 0.0000) x4
P (0.0000, 0.0000, 0.5000) x4
F (0.0778, 0.2500, 0.1250) x8

Computed properties:
- E_form (uncorrected) (meV per atom) = -1849
- relative energy among the computed polymorphs (eV per formula unit) = 0.53
- DOS(E_F) (states/eV/f.u.) = 0.00

No. 14
The following is a DFT calculation (PBE) of CePu8Ru6 after structural relaxation.

a b c (Å): 6.2622 6.2622 25.3946
angles (deg): 90.00 90.00 120.00
Space group R-3 (No. 148, hexagonal axes)
Inequivalent atoms, fractional coordinates:
Ce (0.0000, 0.0000, 0.0000) x3
Pu (0.0000, 0.0000, 0.3131) x6
Pu (0.0020, 0.6635, 0.4758) x18
Ru (0.0037, 0.7312, 0.5982) x18

Computed properties:
- DOS(E_F) (states/eV/f.u.) = 34.91
- formation energy (eV per atom) = 0.065

No. 15
The following is a DFT calculation (PBE) of Ba2AgAu2 after structural relaxation.

a b c (Å): 12.1188 4.7864 12.5419
angles (deg): 90.00 118.46 90.00
Space group C2/m (No. 12)
Inequivalent atoms, fractional coordinates:
Ba (0.0860, 0.0000, 0.3942) x4
Ba (0.1883, 0.5000, 0.1426) x4
Ag (0.0900, 0.5000, 0.8214) x4
Au (0.0529, 0.0000, 0.9194) x4
Au (0.1303, 0.5000, 0.6121) x4

Computed properties:
- relative energy among the computed polymorphs (eV per formula unit) = 0.00
- DOS(E_F) (states/eV/f.u.) = 2.21
- formation energy (eV per atom) = -0.594

No. 16
The following is a DFT calculation (PBE) of Co2H2N after structural relaxation.

a b c (Å): 2.6035 2.6035 9.3234
angles (deg): 90.00 90.00 90.00
Space group I4/mmm (No. 139)
Inequivalent atoms, fractional coordinates:
Co (0.0000, 0.0000, 0.1262) x4
H (0.0000, 0.5000, 0.2500) x4
N (0.0000, 0.0000, 0.5000) x2

Computed properties:
- relative energy among the computed polymorphs (eV per formula unit) = 1.26
- DOS(E_F) (states/eV/f.u.) = 3.21

No. 17
The following is a DFT calculation (PBE) of Ir3Rh5 after structural relaxation.

a b c (Å): 2.7250 2.7250 15.4047
angles (deg): 90.00 90.00 90.00
Space group P4/mmm (No. 123)
Inequivalent atoms, fractional coordinates:
Ir (0.0000, 0.0000, 0.0000) x1
Ir (0.5000, 0.5000, 0.3744) x2
Rh (0.0000, 0.0000, 0.2513) x2
Rh (0.0000, 0.0000, 0.5000) x1
Rh (0.5000, 0.5000, 0.1235) x2

Computed properties:
- relative energy among the computed polymorphs (eV per formula unit) = 0.00
- DOS(E_F) (states/eV/f.u.) = 7.05
- formation energy (eV per atom) = -0.008

No. 18
The following is a DFT calculation (PBE) of ReSbIr4 after structural relaxation.

a b c (Å): 7.3851 7.3851 7.3851
angles (deg): 90.00 90.00 90.00
Space group F-43m (No. 216)
Inequivalent atoms, fractional coordinates:
Re (0.0000, 0.0000, 0.0000) x4
Sb (0.2500, 0.2500, 0.7500) x4
Ir (0.1258, 0.1258, 0.3743) x16

Computed properties:
- E_form (uncorrected) (meV per atom) = 727
- DOS(E_F) (states/eV/f.u.) = 10.77

No. 19
The following is a DFT calculation (PBE) of SrCa2F7 after structural relaxation.

a b c (Å): 4.0135 4.0135 33.6009
angles (deg): 90.00 90.00 120.00
Space group R-3m (No. 166, hexagonal axes)
Inequivalent atoms, fractional coordinates:
Sr (0.0000, 0.0000, 0.0000) x3
Ca (0.0000, 0.0000, 0.4326) x6
F (0.0000, 0.0000, 0.0754) x6
F (0.0000, 0.0000, 0.2177) x6
F (0.0000, 0.0000, 0.3608) x6
F (0.0000, 0.0000, 0.5000) x3

Computed properties:
- E_form (uncorrected) (meV per atom) = -3472
- DOS(E_F) (states/eV/f.u.) = 8.31

No. 20
The following is a DFT calculation (PBE) of PmHoGeRu after structural relaxation.

a b c (Å): 7.0520 7.0520 7.0520
angles (deg): 90.00 90.00 90.00
Space group F-43m (No. 216)
Inequivalent atoms, fractional coordinates:
Pm (0.0000, 0.0000, 0.0000) x4
Ho (0.0000, 0.0000, 0.5000) x4
Ge (0.2500, 0.2500, 0.7500) x4
Ru (0.2500, 0.2500, 0.2500) x4

Computed properties:
- relative energy among the computed polymorphs (eV per formula unit) = 0.70
- DOS(E_F) (states/eV/f.u.) = 2.48
- formation energy (eV per atom) = -0.417